Below is crystalline Cs2ZrMnMo4O16 at its relaxed geometry, with properties calculated at the PBE with a Hubbard U level.

Values from the calculation:
final energy = -7.19 eV/atom
spin magnetization = 5.000 μB/f.u.
N(E_F) = 0.000 states/eV per atom

Cell: 5.955 10.246 10.268 Å, 60.46 73.14 73.11°
Element x y z (fractional)
O  0.328  0.342  0.507
O  0.573  0.590  0.263
O  0.825  0.839  0.007
O  0.920  0.910  0.250
O  0.175  0.161  0.993
O  0.178  0.658  0.493
O  0.672  0.658  0.493
O  0.329  0.839  0.007
O  0.784  0.880  0.551
O  0.714  0.617  0.954
O  0.427  0.410  0.737
O  0.080  0.090  0.750
O  0.286  0.383  0.046
O  0.671  0.161  0.993
O  0.822  0.342  0.507
O  0.216  0.120  0.449
Mo  0.609  0.725  0.057
Mo  0.111  0.223  0.555
Mo  0.391  0.275  0.943
Mo  0.889  0.777  0.445
Mn  0.000  0.000  0.000
Cs  0.757  0.255  0.231
Cs  0.243  0.745  0.769
Zr  0.500  0.500  0.500